(1)
Entry from Alexandria: crystalline BHCl3 at its relaxed geometry (PBE).

Summary:
- N(E_F) (states/eV/f.u.) = 0.0
- total moment (μB per atom) = 0.20
- uncorrected energy (eV per atom) = -3.37

Cell: 9.436 6.611 12.791 Å, 90.00 132.25 90.00°
Space group P2_1/c (No. 14)
Symmetry-distinct sites (fractional):
B: 0.125 0.156 0.041 [4 per cell]
H: 0.394 0.734 0.404 [4 per cell]
Cl: 0.104 0.203 0.413 [4 per cell]
Cl: 0.129 0.639 0.512 [4 per cell]
Cl: 0.307 0.222 0.221 [4 per cell]


(2)
Entry from Alexandria: crystalline BH3Cl2 at its relaxed geometry (PBE).

Summary:
- N(E_F) (states/eV/f.u.) = 1.9
- total moment (μB per atom) = 0.03
- uncorrected energy (eV per atom) = -3.30

Cell: 12.861 7.510 4.334 Å, 90.00 95.65 90.00°
Space group C2/c (No. 15)
Symmetry-distinct sites (fractional):
B: 0.000 0.046 0.250 [4 per cell]
H: 0.000 0.205 0.250 [4 per cell]
H: 0.069 0.039 0.901 [8 per cell]
Cl: 0.172 0.457 0.772 [8 per cell]


(3)
Entry from Alexandria: crystalline BH2Cl2 at its relaxed geometry (PBE).

Summary:
- N(E_F) (states/eV/f.u.) = 0.0
- total moment (μB per atom) = 0.00
- uncorrected energy (eV per atom) = -3.60

Cell: 13.869 5.855 5.745 Å, 90.00 111.44 90.00°
Space group C2/m (No. 12)
Symmetry-distinct sites (fractional):
B: 0.123 0.000 0.393 [4 per cell]
H: 0.031 0.000 0.305 [4 per cell]
H: 0.174 0.000 0.611 [4 per cell]
Cl: 0.079 0.500 0.568 [4 per cell]
Cl: 0.188 0.000 0.183 [4 per cell]


(4)
Entry from Alexandria: crystalline BH2Cl at its relaxed geometry (PBE).

Summary:
- N(E_F) (states/eV/f.u.) = 0.9
- total moment (μB per atom) = 0.00
- uncorrected energy (eV per atom) = -1.98

Cell: 5.259 5.259 5.259 Å, 90.00 90.00 90.00°
Space group Fm-3m (No. 225)
Symmetry-distinct sites (fractional):
B: 0.000 0.000 0.000 [4 per cell]
H: 0.250 0.250 0.250 [8 per cell]
Cl: 0.000 0.000 0.500 [4 per cell]


(5)
Entry from Alexandria: crystalline B10H13Cl at its relaxed geometry (PBE).

Summary:
- N(E_F) (states/eV/f.u.) = 0.0
- total moment (μB per atom) = 0.00
- uncorrected energy (eV per atom) = -4.83

Cell: 12.757 7.717 11.329 Å, 90.00 115.66 90.00°
Space group P2_1/c (No. 14)
Symmetry-distinct sites (fractional):
B: 0.094 0.237 0.417 [4 per cell]
B: 0.146 0.147 0.820 [4 per cell]
B: 0.160 0.028 0.958 [4 per cell]
B: 0.171 0.126 0.340 [4 per cell]
B: 0.189 0.059 0.492 [4 per cell]
B: 0.272 0.019 0.902 [4 per cell]
B: 0.284 0.232 0.852 [4 per cell]
B: 0.311 0.013 0.068 [4 per cell]
B: 0.315 0.100 0.467 [4 per cell]
B: 0.382 0.165 0.008 [4 per cell]
H: 0.007 0.725 0.109 [4 per cell]
H: 0.072 0.094 0.719 [4 per cell]
H: 0.097 0.588 0.455 [4 per cell]
H: 0.127 0.031 0.248 [4 per cell]
H: 0.148 0.186 0.541 [4 per cell]
H: 0.163 0.573 0.027 [4 per cell]
H: 0.215 0.073 0.082 [4 per cell]
H: 0.291 0.604 0.350 [4 per cell]
H: 0.300 0.091 0.576 [4 per cell]
H: 0.327 0.250 0.278 [4 per cell]
H: 0.367 0.168 0.115 [4 per cell]
H: 0.381 0.514 0.978 [4 per cell]
H: 0.484 0.152 0.043 [4 per cell]
Cl: 0.379 0.649 0.686 [4 per cell]


(6)
Entry from Alexandria: crystalline B2H2Cl7 at its relaxed geometry (PBE).

Summary:
- total moment (μB per atom) = 0.09
- uncorrected energy (eV per atom) = -3.60

Cell: 9.777 10.005 7.210 Å, 90.00 92.93 90.00°
Space group C2/m (No. 12)
Symmetry-distinct sites (fractional):
B: 0.181 0.000 0.316 [4 per cell]
H: 0.000 0.462 0.000 [4 per cell]
Cl: 0.000 0.500 0.500 [2 per cell]
Cl: 0.166 0.151 0.199 [8 per cell]
Cl: 0.208 0.000 0.560 [4 per cell]


Looking at mass density for the records above, in order, we have 1329 1351 1281 2205 1035 1282 kg/m3.